Record 1
Here is a geometry-optimized SrCuTc structure from the Alexandria database. Energies are from PBE-GGA.

Computed properties:
Calculated total energy   -0.2741 Ry per atom

a b c (Å): 6.8376 6.8376 6.8376
angles (deg): 90.00 90.00 90.00
Space group F-43m (No. 216)
Asymmetric unit:
Sr1 0.0000 0.0000 0.0000 [4 per cell]
Cu1 0.2500 0.2500 0.7500 [4 per cell]
Tc1 0.2500 0.2500 0.2500 [4 per cell]

***

Record 2
Here is a geometry-optimized Pm3TcBr3 structure from the Alexandria database. Energies are from PBE-GGA.

Computed properties:
Formation energy (no corrections)   -1.120 eV/atom

a b c (Å): 8.8859 4.0960 12.2805
angles (deg): 90.00 91.20 90.00
Space group P2_1/m (No. 11)
Asymmetric unit:
Pm1 0.0930 0.2500 0.3239 [2 per cell]
Pm2 0.1677 0.2500 0.8500 [2 per cell]
Pm3 0.2634 0.7500 0.1000 [2 per cell]
Tc1 0.0325 0.2500 0.0777 [2 per cell]
Br1 0.1333 0.2500 0.5976 [2 per cell]
Br2 0.3313 0.7500 0.3478 [2 per cell]
Br3 0.4455 0.7500 0.8720 [2 per cell]

***

Record 3
Here is a geometry-optimized Ac5Sn5Pd2 structure from the Alexandria database. Energies are from PBE-GGA.

Computed properties:
Calculated total energy   -0.3681 Ry per atom

a b c (Å): 17.1791 4.8007 12.3333
angles (deg): 90.00 131.44 90.00
Space group C2/m (No. 12)
Asymmetric unit:
Ac1 0.0000 0.0000 0.0000 [2 per cell]
Ac2 0.1189 0.0000 0.4209 [4 per cell]
Ac3 0.1924 0.0000 0.8195 [4 per cell]
Sn1 0.0000 0.5000 0.5000 [2 per cell]
Sn2 0.0554 0.5000 0.8377 [4 per cell]
Sn3 0.2478 0.5000 0.6924 [4 per cell]
Pd1 0.1450 0.5000 0.2545 [4 per cell]

***

Record 4
Here is a geometry-optimized SrSiP2 structure from the Alexandria database. Energies are from PBE-GGA.

Computed properties:
Formation energy (no corrections)   0.110 eV/atom

a b c (Å): 4.4738 4.4738 8.1352
angles (deg): 90.00 90.00 90.00
Space group I4/mmm (No. 139)
Asymmetric unit:
Sr1 0.0000 0.0000 0.0000 [2 per cell]
Si1 0.0000 0.0000 0.5000 [2 per cell]
P1 0.0000 0.5000 0.2500 [4 per cell]